First-principles (PBE+U) data for crystalline Cs3VCl6O4 at its relaxed geometry, as listed in Alexandria.

```
data_Cs3VCl6O4
_space_group_name_H-M_alt 'I m m m'
_space_group_IT_number 71
_space_group_name_Hall '-I 2 2'
_cell_length_a 5.828
_cell_length_b 8.158
_cell_length_c 17.876
_cell_angle_alpha 90.00
_cell_angle_beta 90.00
_cell_angle_gamma 90.00
loop_
_atom_site_label
_atom_site_type_symbol
_atom_site_fract_x
_atom_site_fract_y
_atom_site_fract_z
Cs1 Cs 0.000 0.000 0.000
Cs2 Cs 0.000 0.500 0.308
V1 V 0.000 0.000 0.500
Cl1 Cl 0.000 0.269 0.147
Cl2 Cl 0.000 0.291 0.500
O1 O 0.211 0.000 0.424
```

Total energy in eV/f.u.: -51.420
Mass density in g cm⁻³: 2.838